K2Mg3Tl9 | PBE | relaxed

SG	No. 15
calculated formation energy	-0.054	eV/atom
DOS at the Fermi energy	10.94	states/eV per cell

abc: 9.240 9.240 12.664
angles: 89.91 111.30 120.27
Sites, in units of the cell vectors:
K (0.337, 0.244, 0.752)
K (0.663, 0.756, 0.248)
K (0.992, 0.585, 0.748)
K (0.008, 0.415, 0.252)
Mg (0.500, 0.000, 0.000)
Mg (0.500, 0.500, 0.500)
Mg (0.841, 0.171, 0.500)
Mg (0.159, 0.829, 0.500)
Mg (0.171, 0.341, 0.000)
Mg (0.829, 0.659, 0.000)
Tl (0.461, 0.921, 0.747)
Tl (0.539, 0.079, 0.253)
Tl (0.674, 0.714, 0.753)
Tl (0.326, 0.286, 0.247)
Tl (0.434, 0.630, 0.916)
Tl (0.566, 0.370, 0.084)
Tl (0.214, 0.517, 0.584)
Tl (0.786, 0.483, 0.416)
Tl (0.876, 0.126, 0.750)
Tl (0.124, 0.874, 0.250)
Tl (0.149, 0.991, 0.963)
Tl (0.851, 0.009, 0.037)
Tl (0.528, 0.186, 0.537)
Tl (0.472, 0.814, 0.463)
Tl (0.890, 0.860, 0.576)
Tl (0.110, 0.140, 0.424)
Tl (0.784, 0.314, 0.924)
Tl (0.216, 0.686, 0.076)